{
  "formula": "BaNaNdMnO6",
  "functional": "PBE with a Hubbard U",
  "state": "relaxed",
  "dft_energy_ev_per_cell": -64.2,
  "lattice": [[0.0000, 4.2286, 4.2286], [4.2286, 0.0000, 4.2286], [4.2286, 4.2286, 0.0000]],
  "species": ["Ba", "Na", "Nd", "Mn", "O", "O", "O", "O", "O", "O"],
  "fractional_positions": [[0.0000, 0.0000, 0.0000], [0.5000, 0.5000, 0.5000], [0.7500, 0.7500, 0.7500], [0.2500, 0.2500, 0.2500], [0.0246, 0.0246, 0.4754], [0.0246, 0.4754, 0.0246], [0.0246, 0.4754, 0.4754], [0.4754, 0.0246, 0.0246], [0.4754, 0.0246, 0.4754], [0.4754, 0.4754, 0.0246]]
}